# 1
! PBE DyHoTm2, relaxed; values from VASP
! SG: Cmcm, No. 63
! Total DFT energy (no corrections): -4.530 eV/atom
! Calculated formation energy: 0.0019 eV/atom
&SYSTEM
  ibrav = 0, nat = 8, ntyp = 3
/
ATOMIC_SPECIES
Dy 162.50 Dy.upf
Ho 164.93 Ho.upf
Tm 168.93 Tm.upf
CELL_PARAMETERS angstrom
3.574 -6.191 0.000
3.574 6.191 0.000
0.000 0.000 5.544
ATOMIC_POSITIONS crystal
Dy 0.667 0.333 0.250
Dy 0.333 0.667 0.750
Ho 0.166 0.834 0.250
Ho 0.834 0.166 0.750
Tm 0.167 0.333 0.250
Tm 0.667 0.833 0.250
Tm 0.333 0.167 0.750
Tm 0.833 0.667 0.750

=====

# 2
! PBE CoSnOsPd, relaxed; values from VASP
! SG: F-43m, No. 216
! Total DFT energy (no corrections): -6.594 eV/atom
&SYSTEM
  ibrav = 0, nat = 4, ntyp = 4
/
ATOMIC_SPECIES
Co 58.93 Co.upf
Os 190.23 Os.upf
Pd 106.42 Pd.upf
Sn 118.71 Sn.upf
CELL_PARAMETERS angstrom
1.794 2.852 2.865
-2.597 2.681 2.372
-0.463 -0.650 4.350
ATOMIC_POSITIONS crystal
Co 0.750 0.750 0.750
Os 0.250 0.250 0.250
Pd 0.500 0.500 0.500
Sn 0.000 0.000 0.000

=====

# 3
! PBE CsBaNd, relaxed; values from VASP
! SG: F-43m, No. 216
! Total DFT energy (no corrections): -1.555 eV/atom
&SYSTEM
  ibrav = 0, nat = 3, ntyp = 3
/
ATOMIC_SPECIES
Ba 137.33 Ba.upf
Cs 132.91 Cs.upf
Nd 144.24 Nd.upf
CELL_PARAMETERS angstrom
-0.885 -4.625 3.997
3.907 -4.782 0.104
3.851 -0.738 4.771
ATOMIC_POSITIONS crystal
Ba 0.750 0.750 0.750
Cs 0.000 0.000 0.000
Nd 0.250 0.250 0.250

=====

# 4
! PBE NaGd2, relaxed; values from VASP
! SG: Fm-3m, No. 225
! Total DFT energy (no corrections): -2.732 eV/atom
&SYSTEM
  ibrav = 0, nat = 3, ntyp = 2
/
ATOMIC_SPECIES
Gd 157.25 Gd.upf
Na 22.99 Na.upf
CELL_PARAMETERS angstrom
3.850 0.516 3.656
0.975 4.764 2.192
-1.271 0.898 5.102
ATOMIC_POSITIONS crystal
Gd 0.250 0.250 0.250
Gd 0.750 0.750 0.750
Na 0.000 0.000 0.000

=====

# 5
! PBE ZrBeAgAu, relaxed; values from VASP
! SG: F-43m, No. 216
! Total DFT energy (no corrections): -4.697 eV/atom
&SYSTEM
  ibrav = 0, nat = 4, ntyp = 4
/
ATOMIC_SPECIES
Ag 107.87 Ag.upf
Au 196.97 Au.upf
Be 9.01 Be.upf
Zr 91.22 Zr.upf
CELL_PARAMETERS angstrom
0.000 3.231 3.231
3.231 0.000 3.231
3.231 3.231 0.000
ATOMIC_POSITIONS crystal
Ag 0.500 0.500 0.500
Au 0.750 0.750 0.750
Be 0.250 0.250 0.250
Zr 0.000 0.000 0.000

=====

# 6
! PBE PrGe2Ir, relaxed; values from VASP
! SG: Pmc2_1, No. 26
! Total DFT energy (no corrections): -6.040 eV/atom
&SYSTEM
  ibrav = 0, nat = 8, ntyp = 3
/
ATOMIC_SPECIES
Ge 72.64 Ge.upf
Ir 192.22 Ir.upf
Pr 140.91 Pr.upf
CELL_PARAMETERS angstrom
-0.195 2.799 -2.091
-6.443 -2.729 -3.051
-3.283 2.967 4.278
ATOMIC_POSITIONS crystal
Ge 0.500 0.255 0.171
Ge 0.000 0.635 0.319
Ge 0.500 0.745 0.671
Ge 0.000 0.365 0.819
Ir 0.500 0.562 0.007
Ir 0.500 0.438 0.507
Pr 0.000 0.936 0.003
Pr 0.000 0.064 0.503

=====

# 7
! PBE Nd2Er2Si3, relaxed; values from VASP
! SG: Cmcm, No. 63
! Total DFT energy (no corrections): -5.545 eV/atom
&SYSTEM
  ibrav = 0, nat = 14, ntyp = 3
/
ATOMIC_SPECIES
Er 167.26 Er.upf
Nd 144.24 Nd.upf
Si 28.09 Si.upf
CELL_PARAMETERS angstrom
-7.645 5.404 5.301
3.967 -5.854 -8.108
-1.812 -5.803 3.304
ATOMIC_POSITIONS crystal
Er 0.811 0.189 0.016
Er 0.811 0.189 0.484
Er 0.189 0.811 0.516
Er 0.189 0.811 0.984
Nd 0.623 0.377 0.250
Nd 0.454 0.546 0.250
Nd 0.546 0.454 0.750
Nd 0.377 0.623 0.750
Si 0.052 0.948 0.073
Si 0.306 0.694 0.250
Si 0.052 0.948 0.427
Si 0.948 0.052 0.573
Si 0.694 0.306 0.750
Si 0.948 0.052 0.927

=====

# 8
! PBE GdHoSnC, relaxed; values from VASP
! SG: P-3m1, No. 164
! Total DFT energy (no corrections): -6.135 eV/atom
&SYSTEM
  ibrav = 0, nat = 8, ntyp = 4
/
ATOMIC_SPECIES
C 12.01 C.upf
Gd 157.25 Gd.upf
Ho 164.93 Ho.upf
Sn 118.71 Sn.upf
CELL_PARAMETERS angstrom
-3.107 1.779 0.596
0.800 -1.189 -3.335
-7.310 -13.837 3.182
ATOMIC_POSITIONS crystal
C 0.000 0.000 0.000
C 0.000 0.000 0.500
Gd 0.333 0.667 0.414
Gd 0.667 0.333 0.586
Ho 0.333 0.667 0.083
Ho 0.667 0.333 0.917
Sn 0.667 0.333 0.247
Sn 0.333 0.667 0.753

=====

What are the spin magnetization values for these records? In order: 0.2; 2.1; 0.0; 1.8; 0.0; 0.0; 0.0; 0.0 Bohr magnetons per cell.